(1)
## LiIn4Pb3 (PBE)

Data for a geometry-optimized LiIn4Pb3 structure.

abc: 25.1966 3.2879 5.4880
angles: 90.00 99.10 90.00
Space group C2/m (No. 12)
Symmetry-distinct sites (fractional):
Li (0.0000, 0.0000, 0.0000)
In (0.0930, 0.5000, 0.1200)
In (0.2137, 0.0000, 0.2164)
Pb (0.0000, 0.5000, 0.5000)
Pb (0.1549, 0.5000, 0.6668)

Results
The calculated total energy comes out at -47.7 eV/cell. The crystal system is monoclinic. Its volume is 449 Å³ per cell. For the magnetization, the calculation gives 0.0000 μB/atom.

=====

(2)
## Li3In3Pb (PBE)

Data for a geometry-optimized Li3In3Pb structure.

abc: 7.7921 9.6126 8.9019
angles: 90.00 90.00 90.00
Space group Cmmm (No. 65)
Symmetry-distinct sites (fractional):
Li (0.0000, 0.2134, 0.0000)
Li (0.0000, 0.2226, 0.5000)
Li (0.2081, 0.5000, 0.0000)
In (0.0000, 0.0000, 0.2357)
In (0.2500, 0.2500, 0.2311)
Pb (0.2093, 0.5000, 0.5000)

Results
The calculated total energy comes out at -74.4 eV/cell. The crystal system is orthorhombic. Its volume is 667 Å³ per cell. For the magnetization, the calculation gives 0.0000 μB/atom.

=====

(3)
## Li2InPb2 (PBE)

Data for a geometry-optimized Li2InPb2 structure.

abc: 4.3859 4.3859 13.2520
angles: 90.00 90.00 90.00
Space group I4/mmm (No. 139)
Symmetry-distinct sites (fractional):
Li (0.0000, 0.5000, 0.2500)
In (0.0000, 0.0000, 0.0000)
Pb (0.0000, 0.0000, 0.3899)

Results
The calculated total energy comes out at -28.2 eV/cell. The crystal system is tetragonal. Its volume is 255 Å³ per cell. For the magnetization, the calculation gives 0.0000 μB/atom.

=====

(4)
## LiInPb2 (PBE)

Data for a geometry-optimized LiInPb2 structure.

abc: 6.7621 11.1093 3.3613
angles: 90.00 118.46 90.00
Space group C2/m (No. 12)
Symmetry-distinct sites (fractional):
Li (0.0000, 0.0000, 0.0000)
In (0.0000, 0.5000, 0.0000)
Pb (0.2500, 0.2500, 0.5000)

Results
The calculated total energy comes out at -24.7 eV/cell. The crystal system is monoclinic. Its volume is 222 Å³ per cell. For the magnetization, the calculation gives 0.0000 μB/atom.

=====

(5)
## LiIn2Pb (PBE)

Data for a geometry-optimized LiIn2Pb structure.

abc: 3.5755 5.2375 10.7734
angles: 90.00 90.00 90.00
Space group Immm (No. 71)
Symmetry-distinct sites (fractional):
Li (0.0000, 0.0000, 0.0000)
In (0.0000, 0.5000, 0.2727)
Pb (0.0000, 0.0000, 0.5000)

Results
The calculated total energy comes out at -23.0 eV/cell. The crystal system is orthorhombic. Its volume is 202 Å³ per cell. For the magnetization, the calculation gives 0.0000 μB/atom.

=====

(6)
## Li2InPb2 (PBE)

Data for a geometry-optimized Li2InPb2 structure.

abc: 8.4517 8.4517 3.4312
angles: 90.00 90.00 90.00
Space group P4/mbm (No. 127)
Symmetry-distinct sites (fractional):
Li (0.1695, 0.3305, 0.0000)
In (0.0000, 0.0000, 0.5000)
Pb (0.1317, 0.6317, 0.5000)

Results
The calculated total energy comes out at -29.4 eV/cell. The crystal system is tetragonal. Its volume is 245 Å³ per cell. For the magnetization, the calculation gives 0.0000 μB/atom.

=====

(7)
## LiIn2Pb (PBE)

Data for a geometry-optimized LiIn2Pb structure.

abc: 3.5346 4.4664 6.4649
angles: 90.00 90.00 90.00
Space group Pmm2 (No. 25)
Symmetry-distinct sites (fractional):
Li (0.0000, 0.0000, 0.0000)
In (0.0000, 0.0000, 0.5139)
In (0.5000, 0.5000, 0.7551)
Pb (0.5000, 0.5000, 0.2438)

Results
The calculated total energy comes out at -11.5 eV/cell. The crystal system is orthorhombic. Its volume is 102 Å³ per cell. For the magnetization, the calculation gives 0.0000 μB/atom.

=====

(8)
## Li3In4Pb (PBE)

Data for a geometry-optimized Li3In4Pb structure.

abc: 3.2544 4.6867 12.5470
angles: 79.89 82.88 89.73
Space group P-1 (No. 2)
Symmetry-distinct sites (fractional):
Li (0.0000, 0.0000, 0.0000)
Li (0.1454, 0.6474, 0.7031)
In (0.2827, 0.7781, 0.4398)
In (0.4025, 0.9009, 0.1968)
Pb (0.5000, 0.5000, 0.0000)

Results
The calculated total energy comes out at -21.6 eV/cell. The crystal system is triclinic. Its volume is 187 Å³ per cell. For the magnetization, the calculation gives 0.0000 μB/atom.

=====

(9)
## Li3InPb4 (PBE)

Data for a geometry-optimized Li3InPb4 structure.

abc: 17.4681 4.8500 4.8505
angles: 90.00 105.79 90.00
Space group C2/m (No. 12)
Symmetry-distinct sites (fractional):
Li (0.0000, 0.0000, 0.0000)
Li (0.2483, 0.0000, 0.2488)
In (0.0000, 0.5000, 0.5000)
Pb (0.1354, 0.0000, 0.6341)
Pb (0.1354, 0.5000, 0.1333)

Results
The calculated total energy comes out at -49.5 eV/cell. The crystal system is monoclinic. Its volume is 395 Å³ per cell. For the magnetization, the calculation gives 0.0000 μB/atom.

=====

(10)
## Li7In2Pb3 (PBE)

Data for a geometry-optimized Li7In2Pb3 structure.

abc: 4.6976 23.7805 4.6770
angles: 90.00 90.00 90.00
Space group Cmmm (No. 65)
Symmetry-distinct sites (fractional):
Li (0.0000, 0.0000, 0.0000)
Li (0.0000, 0.0707, 0.5000)
Li (0.0000, 0.2764, 0.0000)
Li (0.0000, 0.4270, 0.0000)
In (0.0000, 0.1503, 0.0000)
Pb (0.0000, 0.3482, 0.5000)
Pb (0.0000, 0.5000, 0.5000)

Results
The calculated total energy comes out at -64.6 eV/cell. The crystal system is orthorhombic. Its volume is 522 Å³ per cell. For the magnetization, the calculation gives 0.0000 μB/atom.

=====

(11)
## Li4InPb10 (PBE)

Data for a geometry-optimized Li4InPb10 structure.

abc: 10.9268 10.9268 7.1168
angles: 90.00 90.00 90.00
Space group I4/m (No. 87)
Symmetry-distinct sites (fractional):
Li (0.1042, 0.3050, 0.0000)
In (0.0000, 0.0000, 0.5000)
Pb (0.0000, 0.5000, 0.2500)
Pb (0.1011, 0.7922, 0.2340)

Results
The calculated total energy comes out at -95.9 eV/cell. The crystal system is tetragonal. Its volume is 850 Å³ per cell. For the magnetization, the calculation gives 0.0000 μB/atom.

=====

(12)
## LiInPdPb (PBE)

Data for a geometry-optimized LiInPdPb structure.

abc: 6.8200 6.8200 6.8200
angles: 90.00 90.00 90.00
Space group F-43m (No. 216)
Symmetry-distinct sites (fractional):
Li (0.0000, 0.0000, 0.0000)
In (0.2500, 0.2500, 0.2500)
Pd (0.0000, 0.0000, 0.5000)
Pb (0.2500, 0.2500, 0.7500)

Results
The calculated total energy comes out at -59.2 eV/cell. The crystal system is cubic. Its volume is 317 Å³ per cell. For the magnetization, the calculation gives 0.0000 μB/atom.